(1)
# NdHo2Tm | the Alexandria database | PBE | optimized geometry
# **Energy of formation from the pure elements**: 0.139 eV per atom
# **Final energy**: -4.460 eV/atom
# **Total moment**: 0.000 μB/atom
# **Mass density**: 8.30 Mg/m³
data_NdHo2Tm
_chemical_formula_sum 'Nd4 Ho8 Tm4'
_space_group_name_H-M_alt 'F m -3 m'
_space_group_IT_number 225
_space_group_name_Hall '-F 4 2 3'
_cell_length_a 8.013
_cell_length_b 8.013
_cell_length_c 8.013
_cell_angle_alpha 90.00
_cell_angle_beta 90.00
_cell_angle_gamma 90.00
loop_
_atom_site_label
_atom_site_type_symbol
_atom_site_fract_x
_atom_site_fract_y
_atom_site_fract_z
_atom_site_occupancy
Nd1 Nd 0.000 0.000 0.000 1
Ho1 Ho 0.250 0.250 0.250 1
Tm1 Tm 0.000 0.000 0.500 1

(2)
# Nd2Ho3Tm6 | the Alexandria database | PBE | optimized geometry
# **Energy of formation from the pure elements**: 0.188 eV per atom
# **Final energy**: -4.366 eV/atom
# **Total moment**: 0.000 μB/atom
# **Mass density**: 8.22 Mg/m³
data_Nd2Ho3Tm6
_chemical_formula_sum 'Nd4 Ho6 Tm12'
_space_group_name_H-M_alt 'C 1 2/m 1'
_space_group_IT_number 12
_space_group_name_Hall '-C 2y'
_cell_length_a 6.051
_cell_length_b 10.493
_cell_length_c 11.609
_cell_angle_alpha 90.00
_cell_angle_beta 100.08
_cell_angle_gamma 90.00
loop_
_atom_site_label
_atom_site_type_symbol
_atom_site_fract_x
_atom_site_fract_y
_atom_site_fract_z
_atom_site_occupancy
Nd1 Nd 0.000 0.167 0.000 1
Ho1 Ho 0.000 0.000 0.500 1
Ho2 Ho 0.000 0.335 0.500 1
Tm1 Tm 0.249 0.167 0.746 1
Tm2 Tm 0.249 0.500 0.746 1

(3)
# Nd2Ho3Tm6 | the Alexandria database | PBE | optimized geometry
# **Energy of formation from the pure elements**: 0.273 eV per atom
# **Final energy**: -4.281 eV/atom
# **Total moment**: 0.000 μB/atom
# **Mass density**: 8.21 Mg/m³
data_Nd2Ho3Tm6
_chemical_formula_sum 'Nd4 Ho6 Tm12'
_space_group_name_H-M_alt 'I 4/m m m'
_space_group_IT_number 139
_space_group_name_Hall '-I 4 2'
_cell_length_a 4.700
_cell_length_b 4.700
_cell_length_c 32.910
_cell_angle_alpha 90.00
_cell_angle_beta 90.00
_cell_angle_gamma 90.00
loop_
_atom_site_label
_atom_site_type_symbol
_atom_site_fract_x
_atom_site_fract_y
_atom_site_fract_z
_atom_site_occupancy
Nd1 Nd 0.000 0.000 0.046 1
Ho1 Ho 0.000 0.000 0.298 1
Ho2 Ho 0.000 0.000 0.500 1
Tm1 Tm 0.000 0.000 0.195 1
Tm2 Tm 0.000 0.500 0.123 1

(4)
# Nd4HoTm5 | the Alexandria database | PBE | optimized geometry
# **Energy of formation from the pure elements**: 0.240 eV per atom
# **Final energy**: -4.361 eV/atom
# **Total moment**: 0.000 μB/atom
# **Mass density**: 7.84 Mg/m³
data_Nd4HoTm5
_chemical_formula_sum 'Nd8 Ho2 Tm10'
_space_group_name_H-M_alt 'I 4 m m'
_space_group_IT_number 107
_space_group_name_Hall 'I 4 -2'
_cell_length_a 10.679
_cell_length_b 10.679
_cell_length_c 5.890
_cell_angle_alpha 90.00
_cell_angle_beta 90.00
_cell_angle_gamma 90.00
loop_
_atom_site_label
_atom_site_type_symbol
_atom_site_fract_x
_atom_site_fract_y
_atom_site_fract_z
_atom_site_occupancy
Nd1 Nd 0.000 0.323 0.000 1
Ho1 Ho 0.000 0.000 0.757 1
Tm1 Tm 0.000 0.000 0.236 1
Tm2 Tm 0.189 0.189 0.496 1

Number 2 is which compound?
Nd2Ho3Tm6